(1)
An optimized crystal structure of SrAc2Tl2. Source: Alexandria via LeMat-Bulk, functional PBE.

a b c (Å): 5.8245 8.0595 9.0107
angles (deg): 90.00 108.53 90.00
With the nearest neighbours (Å) after each atom.
Fractional coordinates of all 10 atoms:
Sr  0.1547  0.2500  0.3157  6 Tl 3.52-3.68
Sr  0.8453  0.7500  0.6843  6 Tl 3.52-3.68
Ac  0.1637  0.7500  0.3332  6 Tl 3.52-3.57
Ac  0.4968  0.2500  0.9937  4 Tl 3.42-3.47
Ac  0.5032  0.7500  0.0063  4 Tl 3.42-3.47
Ac  0.8363  0.2500  0.6668  6 Tl 3.52-3.57
Tl  0.3410  0.5035  0.6732  5 Ac 3.42-3.57, 3 Sr 3.52-3.68
Tl  0.3410  0.9965  0.6732  5 Ac 3.42-3.57, 3 Sr 3.52-3.68
Tl  0.6590  0.0035  0.3268  5 Ac 3.42-3.57, 3 Sr 3.52-3.68
Tl  0.6590  0.4965  0.3268  5 Ac 3.42-3.57, 3 Sr 3.52-3.68

## Properties
Density of states at the Fermi level in states/eV per atom: 1.23
Total magnetization in μB/atom: 0.0006
Offset from the most stable computed form in meV per atom: 110
E in eV per cell: -31.22

=====

(2)
An optimized crystal structure of BeCoRu. Source: Alexandria via LeMat-Bulk, functional PBE.

a b c (Å): 3.8451 3.8451 2.5609
angles (deg): 90.00 90.00 120.00
With the nearest neighbours (Å) after each atom.
Fractional coordinates of all 3 atoms:
Be  0.0000  0.0000  0.0000  3 Co 2.22
Co  0.6667  0.3333  0.0000  3 Be 2.22
Ru  0.3333  0.6667  0.5000  2 Ru 2.56, 6 Be 2.56, 6 Co 2.56

## Properties
Density of states at the Fermi level in states/eV per atom: 1.36
Total magnetization in μB/atom: 0.1811
Offset from the most stable computed form in meV per atom: 122
E in eV per cell: -20.10

=====

(3)
An optimized crystal structure of Pa2TcSn8. Source: Alexandria via LeMat-Bulk, functional PBE.

a b c (Å): 4.6945 4.6945 12.0527
angles (deg): 90.00 90.00 90.00
With the nearest neighbours (Å) after each atom.
Fractional coordinates of all 11 atoms:
Pa  0.0000  0.0000  0.1879  12 Sn 3.26-3.32
Pa  0.0000  0.0000  0.8121  12 Sn 3.26-3.32
Tc  0.0000  0.0000  0.5000  8 Sn 2.79
Sn  0.0000  0.5000  0.0000  4 Pa 3.26, 8 Sn 3.28-3.32
Sn  0.0000  0.5000  0.3750  2 Tc 2.79, 1 Sn 3.01
Sn  0.0000  0.5000  0.6250  2 Tc 2.79, 1 Sn 3.01
Sn  0.5000  0.0000  0.0000  4 Pa 3.26, 8 Sn 3.28-3.32
Sn  0.5000  0.0000  0.3750  2 Tc 2.79, 1 Sn 3.01
Sn  0.5000  0.0000  0.6250  2 Tc 2.79, 1 Sn 3.01
Sn  0.5000  0.5000  0.1899  8 Sn 3.24-3.28, 4 Pa 3.32
Sn  0.5000  0.5000  0.8101  8 Sn 3.24-3.28, 4 Pa 3.32

## Properties
Density of states at the Fermi level in states/eV per atom: 0.70
Total magnetization in μB/atom: 0.0000
E in eV per cell: -63.90

=====

(4)
An optimized crystal structure of Cu3Pd5Au2. Source: Alexandria via LeMat-Bulk, functional PBE.

a b c (Å): 8.3972 8.3972 8.3972
angles (deg): 105.43 85.80 143.83
With the nearest neighbours (Å) after each atom.
Fractional coordinates of all 20 atoms:
Cu  0.1475  0.6450  0.7926  5 Pd 2.44-2.68, 2 Au 2.67
Cu  0.2500  0.2500  0.0000  6 Pd 2.42-2.51, 2 Cu 2.61
Cu  0.3525  0.1450  0.4975  5 Pd 2.44-2.68, 2 Au 2.67
Cu  0.6475  0.8550  0.5025  5 Pd 2.44-2.68, 2 Au 2.67
Cu  0.7500  0.7500  0.0000  6 Pd 2.42-2.51, 2 Cu 2.61
Cu  0.8525  0.3550  0.2074  5 Pd 2.44-2.68, 2 Au 2.67
Pd  0.1611  0.0806  0.2417  3 Cu 2.44-2.51
Pd  0.2500  0.0124  0.7624  3 Cu 2.42-2.53, 3 Pd 2.61-2.67
Pd  0.2500  0.4876  0.2376  3 Cu 2.42-2.53, 3 Pd 2.61-2.67
Pd  0.2500  0.7500  0.5000  4 Pd 2.61-2.67, 4 Cu 2.68
Pd  0.3389  0.5806  0.9196  3 Cu 2.44-2.51
Pd  0.6611  0.4194  0.0804  3 Cu 2.44-2.51
Pd  0.7500  0.2500  0.5000  4 Pd 2.61-2.67, 4 Cu 2.68
Pd  0.7500  0.5124  0.7624  3 Cu 2.42-2.53, 3 Pd 2.61-2.67
Pd  0.7500  0.9876  0.2376  3 Cu 2.42-2.53, 3 Pd 2.61-2.67
Pd  0.8389  0.9194  0.7583  3 Cu 2.44-2.51
Au  0.1953  0.3624  0.5577  4 Cu 2.67-2.94, 2 Pd 2.84-2.90
Au  0.3047  0.8624  0.1671  4 Cu 2.67-2.94, 2 Pd 2.84-2.90
Au  0.6953  0.1376  0.8329  4 Cu 2.67-2.94, 2 Pd 2.84-2.90
Au  0.8047  0.6376  0.4423  4 Cu 2.67-2.94, 2 Pd 2.84-2.90

## Properties
Density of states at the Fermi level in states/eV per atom: 0.52
Total magnetization in μB/atom: 0.0000
Offset from the most stable computed form in meV per atom: 89
E in eV per cell: -86.32

=====

(5)
An optimized crystal structure of Sr3ZnGe3. Source: Alexandria via LeMat-Bulk, functional PBE.

a b c (Å): 6.1205 6.1205 14.9663
angles (deg): 109.70 109.70 45.97
With the nearest neighbours (Å) after each atom.
Fractional coordinates of all 14 atoms:
Sr  0.0368  0.0368  0.3822  7 Ge 3.22-3.53, 4 Zn 3.28-3.41
Sr  0.0992  0.0992  0.9225  7 Ge 3.29-3.35
Sr  0.2480  0.2480  0.2278  6 Ge 3.28-3.34, 2 Zn 3.51
Sr  0.7520  0.7520  0.7722  6 Ge 3.28-3.34, 2 Zn 3.51
Sr  0.9008  0.9008  0.0775  7 Ge 3.29-3.35
Sr  0.9632  0.9632  0.6178  7 Ge 3.22-3.53, 4 Zn 3.28-3.41
Zn  0.2578  0.2578  0.6024  4 Ge 2.66-2.79
Zn  0.7422  0.7422  0.3976  4 Ge 2.66-2.79
Ge  0.3686  0.3686  0.4635  1 Ge 2.76, 3 Zn 2.77-2.79
Ge  0.3917  0.3917  0.9241  2 Ge 2.66
Ge  0.4542  0.4542  0.7694  1 Ge 2.66, 1 Zn 2.66
Ge  0.5458  0.5458  0.2306  1 Ge 2.66, 1 Zn 2.66
Ge  0.6083  0.6083  0.0759  2 Ge 2.66
Ge  0.6314  0.6314  0.5365  1 Ge 2.76, 3 Zn 2.77-2.79

## Properties
Density of states at the Fermi level in states/eV per atom: 0.20
Total magnetization in μB/atom: 0.0000
E in eV per cell: -48.06

=====

(6)
An optimized crystal structure of La8S3I4N. Source: Alexandria via LeMat-Bulk, functional PBE.

a b c (Å): 9.1685 9.1685 9.1685
angles (deg): 53.75 53.75 53.75
With the nearest neighbours (Å) after each atom.
Fractional coordinates of all 16 atoms:
La  0.2320  0.2320  0.2320  3 S 2.84
La  0.2563  0.7139  0.7139  1 N 2.62, 2 S 2.88
La  0.2861  0.2861  0.7437  1 N 2.62, 2 S 2.88
La  0.2861  0.7437  0.2861  1 N 2.62, 2 S 2.88
La  0.7139  0.2563  0.7139  1 N 2.62, 2 S 2.88
La  0.7139  0.7139  0.2563  1 N 2.62, 2 S 2.88
La  0.7437  0.2861  0.2861  1 N 2.62, 2 S 2.88
La  0.7680  0.7680  0.7680  3 S 2.84
S  0.0000  0.0000  0.5000  6 La 2.84-2.88
S  0.0000  0.5000  0.0000  6 La 2.84-2.88
S  0.5000  0.0000  0.0000  6 La 2.84-2.88
I  0.0000  0.0000  0.0000  6 La 3.58
I  0.0000  0.5000  0.5000  6 La 3.37
I  0.5000  0.0000  0.5000  6 La 3.37
I  0.5000  0.5000  0.0000  6 La 3.37
N  0.5000  0.5000  0.5000  6 La 2.62

## Properties
Density of states at the Fermi level in states/eV per atom: 0.69
Energy relative to the elements, uncorrected in eV per atom: -1.510
Total magnetization in μB/atom: 0.0000
E in eV per cell: -90.49

=====

(7)
An optimized crystal structure of Tl2Pb3. Source: Alexandria via LeMat-Bulk, functional PBE.

a b c (Å): 3.5961 3.5961 13.9597
angles (deg): 90.00 90.00 120.00
With the nearest neighbours (Å) after each atom.
Fractional coordinates of all 5 atoms:
Tl  0.3333  0.6667  0.3007  6 Pb 3.47-3.50, 6 Tl 3.60
Tl  0.6667  0.3333  0.6993  6 Pb 3.47-3.50, 6 Tl 3.60
Pb  0.0000  0.0000  0.5000  6 Tl 3.47, 6 Pb 3.60
Pb  0.3333  0.6667  0.9008  9 Pb 3.46-3.60, 3 Tl 3.50
Pb  0.6667  0.3333  0.0992  9 Pb 3.46-3.60, 3 Tl 3.50

## Properties
Density of states at the Fermi level in states/eV per atom: 0.52
Total magnetization in μB/atom: 0.0000
Offset from the most stable computed form in meV per atom: 12
E in eV per cell: -15.81

=====

(8)
An optimized crystal structure of CePmGaTc. Source: Alexandria via LeMat-Bulk, functional PBE.

a b c (Å): 7.1320 7.1320 7.1320
angles (deg): 90.00 90.00 90.00
With the nearest neighbours (Å) after each atom.
Fractional coordinates of all 16 atoms:
Ce  0.0000  0.0000  0.0000  4 Tc 3.09, 4 Ga 3.09
Ce  0.0000  0.5000  0.5000  4 Tc 3.09, 4 Ga 3.09
Ce  0.5000  0.0000  0.5000  4 Tc 3.09, 4 Ga 3.09
Ce  0.5000  0.5000  0.0000  4 Tc 3.09, 4 Ga 3.09
Pm  0.0000  0.0000  0.5000  4 Tc 3.09, 4 Ga 3.09
Pm  0.0000  0.5000  0.0000  4 Tc 3.09, 4 Ga 3.09
Pm  0.5000  0.0000  0.0000  4 Tc 3.09, 4 Ga 3.09
Pm  0.5000  0.5000  0.5000  4 Tc 3.09, 4 Ga 3.09
Ga  0.2500  0.2500  0.7500  4 Ce 3.09, 4 Pm 3.09
Ga  0.2500  0.7500  0.2500  4 Ce 3.09, 4 Pm 3.09
Ga  0.7500  0.2500  0.2500  4 Ce 3.09, 4 Pm 3.09
Ga  0.7500  0.7500  0.7500  4 Ce 3.09, 4 Pm 3.09
Tc  0.2500  0.2500  0.2500  4 Ce 3.09, 4 Pm 3.09
Tc  0.2500  0.7500  0.7500  4 Ce 3.09, 4 Pm 3.09
Tc  0.7500  0.2500  0.7500  4 Ce 3.09, 4 Pm 3.09
Tc  0.7500  0.7500  0.2500  4 Ce 3.09, 4 Pm 3.09

## Properties
Density of states at the Fermi level in states/eV per atom: 0.72
Total magnetization in μB/atom: 0.0000
Offset from the most stable computed form in meV per atom: 140
E in eV per cell: -98.84

=====

(9)
An optimized crystal structure of BaLi2TaS4. Source: Alexandria via LeMat-Bulk, functional PBE.

a b c (Å): 6.8038 6.8038 8.2582
angles (deg): 90.00 90.00 90.00
With the nearest neighbours (Å) after each atom.
Fractional coordinates of all 16 atoms:
Ba  0.0000  0.0000  0.0000  8 S 3.21-3.36
Ba  0.5000  0.5000  0.5000  8 S 3.21-3.36
Li  0.0000  0.5000  0.2500  4 S 2.56
Li  0.0000  0.5000  0.7500  4 S 2.56
Li  0.5000  0.0000  0.2500  4 S 2.56
Li  0.5000  0.0000  0.7500  4 S 2.56
Ta  0.0000  0.0000  0.5000  4 S 2.34
Ta  0.5000  0.5000  0.0000  4 S 2.34
S  0.1977  0.1977  0.6648  1 Ta 2.34, 2 Li 2.56
S  0.1977  0.8023  0.3352  1 Ta 2.34, 2 Li 2.56
S  0.3023  0.3023  0.1648  1 Ta 2.34, 2 Li 2.56
S  0.3023  0.6977  0.8352  1 Ta 2.34, 2 Li 2.56
S  0.6977  0.3023  0.8352  1 Ta 2.34, 2 Li 2.56
S  0.6977  0.6977  0.1648  1 Ta 2.34, 2 Li 2.56
S  0.8023  0.1977  0.3352  1 Ta 2.34, 2 Li 2.56
S  0.8023  0.8023  0.6648  1 Ta 2.34, 2 Li 2.56

## Properties
Density of states at the Fermi level in states/eV per atom: 0.53
Energy relative to the elements, uncorrected in eV per atom: -1.294
Total magnetization in μB/atom: 0.1268
E in eV per cell: -88.93

=====

(10)
An optimized crystal structure of MoRu. Source: Alexandria via LeMat-Bulk, functional PBE.

a b c (Å): 6.2293 6.2293 6.2293
angles (deg): 90.00 90.00 90.00
With the nearest neighbours (Å) after each atom.
Fractional coordinates of all 16 atoms:
Mo  0.1250  0.1250  0.1250  4 Mo 2.70, 4 Ru 2.70
Mo  0.1250  0.6250  0.6250  4 Mo 2.70, 4 Ru 2.70
Mo  0.3750  0.3750  0.8750  4 Mo 2.70, 4 Ru 2.70
Mo  0.3750  0.8750  0.3750  4 Mo 2.70, 4 Ru 2.70
Mo  0.6250  0.1250  0.6250  4 Mo 2.70, 4 Ru 2.70
Mo  0.6250  0.6250  0.1250  4 Mo 2.70, 4 Ru 2.70
Mo  0.8750  0.3750  0.3750  4 Mo 2.70, 4 Ru 2.70
Mo  0.8750  0.8750  0.8750  4 Ru 2.70, 4 Mo 2.70
Ru  0.1250  0.1250  0.6250  4 Ru 2.70, 4 Mo 2.70
Ru  0.1250  0.6250  0.1250  4 Ru 2.70, 4 Mo 2.70
Ru  0.3750  0.3750  0.3750  4 Mo 2.70, 4 Ru 2.70
Ru  0.3750  0.8750  0.8750  4 Mo 2.70, 4 Ru 2.70
Ru  0.6250  0.1250  0.1250  4 Ru 2.70, 4 Mo 2.70
Ru  0.6250  0.6250  0.6250  4 Ru 2.70, 4 Mo 2.70
Ru  0.8750  0.3750  0.8750  4 Mo 2.70, 4 Ru 2.70
Ru  0.8750  0.8750  0.3750  4 Mo 2.70, 4 Ru 2.70

## Properties
Density of states at the Fermi level in states/eV per atom: 1.30
Total magnetization in μB/atom: 0.3677
E in eV per cell: -156.38

=====

(11)
An optimized crystal structure of La2ReBSe. Source: Alexandria via LeMat-Bulk, functional PBE.

a b c (Å): 5.6527 5.6527 4.4956
angles (deg): 90.00 90.00 90.00
With the nearest neighbours (Å) after each atom.
Fractional coordinates of all 5 atoms:
La  0.0000  0.5000  0.0000  2 Se 2.83
La  0.5000  0.0000  0.0000  2 Se 2.83
Re  0.0000  0.0000  0.5000  2 Se 2.25
B  0.5000  0.5000  0.5000  8 La 3.61, 4 Re 4.00
Se  0.0000  0.0000  0.0000  2 Re 2.25

## Properties
Density of states at the Fermi level in states/eV per atom: 1.06
Energy relative to the elements, uncorrected in eV per atom: 0.795
Total magnetization in μB/atom: 0.0000
E in eV per cell: -28.49

=====

(12)
An optimized crystal structure of SmIn2Pd7. Source: Alexandria via LeMat-Bulk, functional PBE.

a b c (Å): 7.7556 7.7556 4.5046
angles (deg): 90.00 90.00 123.67
With the nearest neighbours (Å) after each atom.
Fractional coordinates of all 10 atoms:
Sm  0.0000  0.0000  0.0000  10 Pd 2.73-3.00
In  0.2997  0.7003  0.5000  5 Pd 2.64-2.74
In  0.7003  0.2997  0.5000  5 Pd 2.64-2.74
Pd  0.0766  0.2898  0.5000  2 In 2.65-2.96, 5 Pd 2.68-2.92
Pd  0.1993  0.8007  0.0000  2 In 2.64, 1 Sm 2.73, 4 Pd 2.91
Pd  0.2898  0.0766  0.5000  2 In 2.65-2.96, 5 Pd 2.68-2.92
Pd  0.5000  0.5000  0.5000  2 In 2.74, 4 Pd 2.74
Pd  0.7102  0.9234  0.5000  2 In 2.65-2.96, 5 Pd 2.68-2.92
Pd  0.8007  0.1993  0.0000  2 In 2.64, 1 Sm 2.73, 4 Pd 2.91
Pd  0.9234  0.7102  0.5000  2 In 2.65-2.96, 5 Pd 2.68-2.92

## Properties
Density of states at the Fermi level in states/eV per atom: 0.66
Total magnetization in μB/atom: 0.0000
E in eV per cell: -48.11